Record 1
A plane-wave DFT calculation with GGA-PBEsol was carried out for an optimized crystal structure of LaZr2Rh.

Output
The raw total energy is -32.81 eV/cell. As for the formation energy: -0.286 eV/atom. The distance to the lowest polymorph of the same formula comes out at 0 meV per atom.

```
data_LaZr2Rh
_cell_length_a 3.3201
_cell_length_b 3.3201
_cell_length_c 7.8094
_cell_angle_alpha 90.00
_cell_angle_beta 90.00
_cell_angle_gamma 90.00
_symmetry_space_group_name_H-M 'P 4/m m m'
_symmetry_Int_Tables_number 123
_symmetry_space_group_name_Hall '-P 4 2'
loop_
_atom_site_label
_atom_site_type_symbol
_atom_site_fract_x
_atom_site_fract_y
_atom_site_fract_z
La1 La 0.0000 0.0000 0.0000
Zr1 Zr 0.5000 0.5000 0.3028
Rh1 Rh 0.0000 0.0000 0.5000
```

Record 2
A plane-wave DFT calculation with GGA-PBEsol was carried out for an optimized crystal structure of La2ZrRh.

Output
The raw total energy is -110.20 eV/cell. As for the formation energy: 0.093 eV/atom. The distance to the lowest polymorph of the same formula comes out at 370 meV per atom.

```
data_La2ZrRh
_cell_length_a 7.2592
_cell_length_b 7.2592
_cell_length_c 7.2592
_cell_angle_alpha 90.00
_cell_angle_beta 90.00
_cell_angle_gamma 90.00
_symmetry_space_group_name_H-M 'F m -3 m'
_symmetry_Int_Tables_number 225
_symmetry_space_group_name_Hall '-F 4 2 3'
loop_
_atom_site_label
_atom_site_type_symbol
_atom_site_fract_x
_atom_site_fract_y
_atom_site_fract_z
La1 La 0.2500 0.2500 0.2500
Zr1 Zr 0.0000 0.0000 0.0000
Rh1 Rh 0.0000 0.0000 0.5000
```

Record 3
A plane-wave DFT calculation with GGA-PBEsol was carried out for an optimized crystal structure of LaZrRh.

Output
The raw total energy is -23.20 eV/cell. As for the formation energy: -0.208 eV/atom. The distance to the lowest polymorph of the same formula comes out at 0 meV per atom.

```
data_LaZrRh
_cell_length_a 3.7740
_cell_length_b 3.7740
_cell_length_c 6.0631
_cell_angle_alpha 90.00
_cell_angle_beta 90.00
_cell_angle_gamma 120.00
_symmetry_space_group_name_H-M 'P 3 m 1'
_symmetry_Int_Tables_number 156
_symmetry_space_group_name_Hall 'P 3 -2"'
loop_
_atom_site_label
_atom_site_type_symbol
_atom_site_fract_x
_atom_site_fract_y
_atom_site_fract_z
La1 La 0.0000 0.0000 0.0000
Zr1 Zr 0.6667 0.3333 0.4671
Rh1 Rh 0.3333 0.6667 0.6997
```